[1]
{"formula": "BaPdRh3", "functional": "GGA-PBE", "state": "optimized geometry", "dft_energy_ev_per_atom": -3.88, "mass_density_g_cm3": 7.27, "magnetic_moment_mub_per_cell": 1.62, "de_polymorph_mev_per_atom": 1238.1, "delta_e_f_mev_per_atom": 1955, "cell": [[5.0157, 0.0000, 0.0000], [0.0000, 5.0157, 0.0000], [0.0000, 0.0000, 5.0157]], "species": ["Ba", "Pd", "Rh", "Rh", "Rh"], "fractional_positions": [[0.0000, 0.0000, 0.0000], [0.5000, 0.5000, 0.5000], [0.0000, 0.0000, 0.5000], [0.0000, 0.5000, 0.0000], [0.5000, 0.0000, 0.0000]]}

***

[2]
{"formula": "Sr2Ta", "functional": "GGA-PBE", "state": "optimized geometry", "dft_energy_ev_per_atom": -4.15, "mass_density_g_cm3": 6.00, "magnetic_moment_mub_per_cell": 0.00, "de_polymorph_mev_per_atom": 307.4, "delta_e_f_mev_per_atom": 920, "cell": [[3.4071, 0.0000, 0.0000], [0.0000, 3.4071, 0.0000], [0.0000, 0.0000, 16.9958]], "species": ["Sr", "Sr", "Sr", "Sr", "Ta", "Ta"], "fractional_positions": [[0.0000, 0.0000, 0.1413], [0.0000, 0.0000, 0.8587], [0.5000, 0.5000, 0.3587], [0.5000, 0.5000, 0.6413], [0.0000, 0.0000, 0.5000], [0.5000, 0.5000, 0.0000]]}